# Li5MoF8

A geometry-optimized Li5MoF8 structure (GGA+U, the Alexandria database).

Cell lengths 5.9315, 5.9315, 5.9315 Å; angles 103.15, 103.15, 123.02 degrees
Last column: magnetic moment on the atom in μB.
Fractional coordinates of all 14 atoms:
Li1 0.5000 0.5000 0.0000  0.00
F1 0.0421 0.8707 0.6786  0.01
Li2 0.4692 0.9573 0.0873  0.00
F2 0.6210 0.8368 0.3122  0.00
F3 0.6912 0.3790 0.2158  0.00
F4 0.5247 0.3088 0.6878  0.00
Mo1 0.2500 0.7500 0.5000  2.81
Li3 0.6182 0.5308 0.4882  0.00
Li4 0.0427 0.1300 0.5118  0.00
F5 0.1632 0.4753 0.7842  0.00
F6 0.1921 0.3635 0.3214  0.01
Li5 0.8700 0.3818 0.9127  0.00
F7 0.1293 0.8079 0.1713  0.01
F8 0.6365 0.9579 0.8287  0.01

Calculated values
E_tot ... -0.1802 Ha/atom